(1)
Material: TbEr3Sc4
Method: DFT, PBE-GGA
State: optimized geometry

## Properties
Its density of states at the Fermi level is 1.94 states/eV per atom. As for the energy of formation: 0.02 eV/atom.

a b c (Å): 10.7370 6.9154 5.9895
angles (deg): 90.00 90.00 90.00
Space group Pmn2_1 (No. 31)
One atom of each set of equivalent atoms:
1 Tb 0.0000 0.1332 0.0000 [2 per cell]
2 Er 0.0000 0.8671 0.4991 [2 per cell]
3 Er 0.2503 0.1333 0.3412 [4 per cell]
4 Sc 0.0000 0.3825 0.5070 [2 per cell]
5 Sc 0.0000 0.6177 0.0065 [2 per cell]
6 Sc 0.2491 0.6177 0.3340 [4 per cell]



(2)
Material: Pu5ZrRh6
Method: DFT, PBE-GGA
State: optimized geometry

## Properties
Its density of states at the Fermi level is 4.09 states/eV per atom. As for the energy of formation: -0.44 eV/atom.

a b c (Å): 4.6620 14.8768 6.8501
angles (deg): 90.00 90.00 90.00
Space group Cmmm (No. 65)
One atom of each set of equivalent atoms:
1 Pu 0.0000 0.0000 0.0000 [2 per cell]
2 Pu 0.0000 0.3213 0.0000 [4 per cell]
3 Pu 0.0000 0.3256 0.5000 [4 per cell]
4 Zr 0.0000 0.0000 0.5000 [2 per cell]
5 Rh 0.0000 0.1459 0.2573 [8 per cell]
6 Rh 0.0000 0.5000 0.2681 [4 per cell]



(3)
Material: TbIn5
Method: DFT, PBE-GGA
State: optimized geometry

## Properties
Its density of states at the Fermi level is 0.52 states/eV per atom. The value obtained for the energy above the most stable polymorph in this dataset is 0 meV per atom. As for the energy of formation: -0.21 eV/atom.

a b c (Å): 4.6002 4.5630 7.5775
angles (deg): 90.00 100.84 90.00
Space group P2/m (No. 10)
One atom of each set of equivalent atoms:
1 Tb 0.0000 0.0000 0.0000 [1 per cell]
2 In 0.1054 0.5000 0.3259 [2 per cell]
3 In 0.3906 0.0000 0.6781 [2 per cell]
4 In 0.5000 0.5000 0.0000 [1 per cell]



(4)
Material: Cr2PbW
Method: DFT, PBE-GGA
State: optimized geometry

## Properties
Its density of states at the Fermi level is 1.09 states/eV per atom. As for the energy of formation: 1.22 eV/atom.

a b c (Å): 7.2053 7.2053 5.5206
angles (deg): 90.00 90.00 90.00
Space group I-42d (No. 122)
One atom of each set of equivalent atoms:
1 Cr 0.1962 0.2500 0.1250 [8 per cell]
2 Pb 0.0000 0.0000 0.5000 [4 per cell]
3 W 0.0000 0.0000 0.0000 [4 per cell]



(5)
Material: LiMo2Pb
Method: DFT, PBE-GGA
State: optimized geometry

## Properties
Its density of states at the Fermi level is 1.29 states/eV per atom. As for the energy of formation: 0.91 eV/atom.

a b c (Å): 2.9760 2.9760 29.0306
angles (deg): 90.00 90.00 120.00
Space group R-3m (No. 166, hexagonal axes)
One atom of each set of equivalent atoms:
1 Li 0.0000 0.0000 0.0000 [3 per cell]
2 Mo 0.0000 0.0000 0.2510 [6 per cell]
3 Pb 0.0000 0.0000 0.5000 [3 per cell]



(6)
Material: PuZrPa2
Method: DFT, PBE-GGA
State: optimized geometry

## Properties
Its density of states at the Fermi level is 2.13 states/eV per atom. The value obtained for the energy above the most stable polymorph in this dataset is 44 meV per atom. As for the energy of formation: 0.14 eV/atom.

a b c (Å): 5.4417 5.4417 3.1814
angles (deg): 90.00 90.00 90.00
Space group P4/mmm (No. 123)
One atom of each set of equivalent atoms:
1 Pu 0.0000 0.0000 0.0000 [1 per cell]
2 Zr 0.5000 0.5000 0.0000 [1 per cell]
3 Pa 0.0000 0.5000 0.5000 [2 per cell]



(7)
Material: Hg3BiN2
Method: DFT, PBE-GGA
State: optimized geometry

## Properties
Its density of states at the Fermi level is 0.21 states/eV per atom. The value obtained for the raw formation energy is 634 meV/atom.

a b c (Å): 3.7285 6.3698 11.4250
angles (deg): 79.45 89.84 89.88
Space group P-1 (No. 2)
One atom of each set of equivalent atoms:
1 Hg 0.2488 0.0061 0.2280 [2 per cell]
2 Hg 0.2511 0.2689 0.4988 [2 per cell]
3 Hg 0.2507 0.8043 0.9890 [2 per cell]
4 Bi 0.2486 0.4830 0.7716 [2 per cell]
5 N 0.2512 0.2000 0.6827 [2 per cell]
6 N 0.2513 0.3317 0.3123 [2 per cell]



(8)
Material: CaLaMnCl2
Method: DFT, PBE-GGA
State: optimized geometry

## Properties
Its density of states at the Fermi level is 0.61 states/eV per atom. The value obtained for the raw formation energy is -261 meV/atom.

a b c (Å): 5.0894 5.0894 4.9862
angles (deg): 90.00 90.00 90.00
Space group P4/mmm (No. 123)
One atom of each set of equivalent atoms:
1 Ca 0.0000 0.0000 0.0000 [1 per cell]
2 La 0.5000 0.5000 0.0000 [1 per cell]
3 Mn 0.5000 0.5000 0.5000 [1 per cell]
4 Cl 0.0000 0.5000 0.5000 [2 per cell]



(9)
Material: Nd2P4Ir3
Method: DFT, PBE-GGA
State: optimized geometry

## Properties
Its density of states at the Fermi level is 0.49 states/eV per atom. As for the energy of formation: -0.77 eV/atom.

a b c (Å): 5.5597 9.8764 12.0510
angles (deg): 90.00 90.00 90.00
Space group Fmmm (No. 69)
One atom of each set of equivalent atoms:
1 Nd 0.0000 0.0000 0.1449 [8 per cell]
2 P 0.0000 0.1601 0.3508 [16 per cell]
3 Ir 0.0000 0.0000 0.5000 [4 per cell]
4 Ir 0.2500 0.2500 0.0000 [8 per cell]



(10)
Material: ScTlSn
Method: DFT, PBE-GGA
State: optimized geometry

## Properties
Its density of states at the Fermi level is 0.87 states/eV per atom. The value obtained for the energy above the most stable polymorph in this dataset is 51 meV per atom. As for the energy of formation: -0.23 eV/atom.

a b c (Å): 4.4940 15.3298 4.2540
angles (deg): 90.00 90.00 90.00
Space group Cmcm (No. 63)
One atom of each set of equivalent atoms:
1 Sc 0.0000 0.0941 0.2500 [4 per cell]
2 Tl 0.0000 0.4284 0.2500 [4 per cell]
3 Sn 0.0000 0.2511 0.7500 [4 per cell]



(11)
Material: FePt2Au
Method: DFT, PBE-GGA
State: optimized geometry

## Properties
Its density of states at the Fermi level is 0.85 states/eV per atom. The value obtained for the energy above the most stable polymorph in this dataset is 45 meV per atom. As for the energy of formation: -0.10 eV/atom.

a b c (Å): 2.8024 2.8024 27.5682
angles (deg): 90.00 90.00 120.00
Space group R3m (No. 160, hexagonal axes)
One atom of each set of equivalent atoms:
1 Fe 0.0000 0.0000 0.0000 [3 per cell]
2 Pt 0.0000 0.0000 0.4088 [3 per cell]
3 Pt 0.0000 0.0000 0.5911 [3 per cell]
4 Au 0.0000 0.0000 0.8331 [3 per cell]



(12)
Material: TiNb14In
Method: DFT, PBE-GGA
State: optimized geometry

## Properties
Its density of states at the Fermi level is 1.19 states/eV per atom. As for the energy of formation: -0.01 eV/atom.

a b c (Å): 6.6577 6.6577 6.6310
angles (deg): 90.00 90.00 90.00
Space group P4/mmm (No. 123)
One atom of each set of equivalent atoms:
1 Ti 0.0000 0.0000 0.0000 [1 per cell]
2 Nb 0.0000 0.0000 0.5000 [1 per cell]
3 Nb 0.0000 0.5000 0.0000 [2 per cell]
4 Nb 0.0000 0.5000 0.5000 [2 per cell]
5 Nb 0.2441 0.2441 0.2571 [8 per cell]
6 Nb 0.5000 0.5000 0.5000 [1 per cell]
7 In 0.5000 0.5000 0.0000 [1 per cell]